(1)
## Ba2SiW (PBE)

Data for crystalline Ba2SiW at its relaxed geometry.

Output
energy above the lowest structure with this stoichiometry	0.230	eV per atom
final energy	-5.08	eV/atom
N(E_F)	9.57	states/eV/cell
crystal system	orthorhombic
formation energy without anion corrections	1.91	eV/f.u.

CIF file:
```
data_Ba2SiW
_cell_length_a 4.4031
_cell_length_b 5.0090
_cell_length_c 12.2713
_cell_angle_alpha 90.00
_cell_angle_beta 90.00
_cell_angle_gamma 90.00
_symmetry_space_group_name_H-M 'A m m 2'
_symmetry_Int_Tables_number 38
loop_
_symmetry_equiv_pos_as_xyz
'x,y,z'
'-x,-y,z'
'-x,y,z'
'x,-y,z'
'x,y+1/2,z+1/2'
'-x,-y+1/2,z+1/2'
'-x,y+1/2,z+1/2'
'x,-y+1/2,z+1/2'
loop_
_atom_site_label
_atom_site_type_symbol
_atom_site_fract_x
_atom_site_fract_y
_atom_site_fract_z
_atom_site_occupancy
Ba1 Ba 0.0000 0.0000 0.0000 1
Ba2 Ba 0.5000 0.0000 0.2846 1
Si1 Si 0.0000 0.0000 0.6895 1
W1 W 0.5000 0.0000 0.6001 1
```



(2)
## Ba2SiW (PBE)

Data for crystalline Ba2SiW at its relaxed geometry.

Output
energy above the lowest structure with this stoichiometry	0.761	eV per atom
final energy	-4.55	eV/atom
N(E_F)	3.64	states/eV/cell
crystal system	tetragonal
formation energy without anion corrections	4.03	eV/f.u.

CIF file:
```
data_Ba2SiW
_cell_length_a 3.2619
_cell_length_b 3.2619
_cell_length_c 10.3567
_cell_angle_alpha 90.00
_cell_angle_beta 90.00
_cell_angle_gamma 90.00
_symmetry_space_group_name_H-M 'P 4/m m m'
_symmetry_Int_Tables_number 123
_symmetry_space_group_name_Hall '-P 4 2'
loop_
_atom_site_label
_atom_site_type_symbol
_atom_site_fract_x
_atom_site_fract_y
_atom_site_fract_z
_atom_site_occupancy
Ba1 Ba 0.0000 0.0000 0.2399 1
Si1 Si 0.5000 0.5000 0.0000 1
W1 W 0.5000 0.5000 0.5000 1
```



(3)
## Ba2SiW (PBE)

Data for crystalline Ba2SiW at its relaxed geometry.

Output
energy above the lowest structure with this stoichiometry	1.033	eV per atom
final energy	-4.28	eV/atom
N(E_F)	17.05	states/eV/cell
crystal system	trigonal
formation energy without anion corrections	5.12	eV/f.u.

CIF file:
```
data_Ba2SiW
_cell_length_a 3.4445
_cell_length_b 3.4445
_cell_length_c 32.9100
_cell_angle_alpha 90.00
_cell_angle_beta 90.00
_cell_angle_gamma 120.00
_symmetry_space_group_name_H-M 'R -3 m'
_symmetry_Int_Tables_number 166
_symmetry_space_group_name_Hall '-R 3 2"'
loop_
_atom_site_label
_atom_site_type_symbol
_atom_site_fract_x
_atom_site_fract_y
_atom_site_fract_z
_atom_site_occupancy
Ba1 Ba 0.0000 0.0000 0.2495 1
Si1 Si 0.0000 0.0000 0.5000 1
W1 W 0.0000 0.0000 0.0000 1
```